1.
Compound: MnAl2AgTe4
Source: Alexandria via LeMat-Bulk
Functional: PBE
Structure: relaxed

Properties
Uncorrected formation energy   -0.22 eV per atom

a = 6.2983 Å, b = 6.2983 Å, c = 12.6088 Å
α = 90.00°, β = 90.00°, γ = 90.00°
Last column: nearest neighbours and their distance in Å.
Space group I-42m (No. 121)
Symmetry-distinct sites (fractional):
Mn 0.0000 0.0000 0.0000  4 Te 2.69
Al 0.0000 0.5000 0.2500  4 Te 2.71
Ag 0.0000 0.0000 0.5000  4 Te 2.80
Te 0.2424 0.2424 0.8730  1 Mn 2.69, 2 Al 2.71, 1 Ag 2.80

---

2.
Compound: AlAg4Mo
Source: Alexandria via LeMat-Bulk
Functional: PBE
Structure: relaxed

Properties
Total energy   -0.1383 hartree per atom

a = 7.6362 Å, b = 7.6362 Å, c = 7.6362 Å
α = 90.00°, β = 90.00°, γ = 90.00°
Last column: nearest neighbours and their distance in Å.
Space group F-43m (No. 216)
Symmetry-distinct sites (fractional):
Al 0.0000 0.0000 0.0000  12 Ag 3.17, 4 Mo 3.31
Ag 0.1249 0.1249 0.3751  6 Ag 2.70
Mo 0.2500 0.2500 0.7500  12 Ag 3.17, 4 Al 3.31

---

3.
Compound: Al4AgMo
Source: Alexandria via LeMat-Bulk
Functional: PBE
Structure: relaxed

Properties
Total energy   -0.1701 hartree per atom

a = 7.2710 Å, b = 7.2710 Å, c = 7.2710 Å
α = 90.00°, β = 90.00°, γ = 90.00°
Last column: nearest neighbours and their distance in Å.
Space group F-43m (No. 216)
Symmetry-distinct sites (fractional):
Al 0.1250 0.1250 0.1250  6 Al 2.57
Ag 0.0000 0.0000 0.5000  12 Al 3.01, 4 Mo 3.15
Mo 0.2500 0.2500 0.7500  12 Al 3.01, 4 Ag 3.15